# 1
The following is a GGA-PBE calculation of crystalline LiScFeSi at its relaxed geometry, from Alexandria via LeMat-Bulk.

Calculated values
As for the space group: F-43m, No. 216. The total energy is -5.826 eV/atom.

Cell lengths 6.0126, 6.0126, 6.0126 Å; angles 90.00, 90.00, 90.00 degrees
Last column: nearest neighbours and their distance in Å.
Sites, in units of the cell vectors:
Li 0.0000 0.0000 0.0000  4 Sc 2.60, 4 Si 2.60
Li 0.0000 0.5000 0.5000  4 Sc 2.60, 4 Si 2.60
Li 0.5000 0.0000 0.5000  4 Sc 2.60, 4 Si 2.60
Li 0.5000 0.5000 0.0000  4 Sc 2.60, 4 Si 2.60
Sc 0.2500 0.2500 0.2500  4 Fe 2.60, 4 Li 2.60
Sc 0.2500 0.7500 0.7500  4 Fe 2.60, 4 Li 2.60
Sc 0.7500 0.2500 0.7500  4 Fe 2.60, 4 Li 2.60
Sc 0.7500 0.7500 0.2500  4 Fe 2.60, 4 Li 2.60
Fe 0.0000 0.0000 0.5000  4 Sc 2.60, 4 Si 2.60
Fe 0.0000 0.5000 0.0000  4 Sc 2.60, 4 Si 2.60
Fe 0.5000 0.0000 0.0000  4 Sc 2.60, 4 Si 2.60
Fe 0.5000 0.5000 0.5000  4 Sc 2.60, 4 Si 2.60
Si 0.2500 0.2500 0.7500  4 Fe 2.60, 4 Li 2.60
Si 0.2500 0.7500 0.2500  4 Fe 2.60, 4 Li 2.60
Si 0.7500 0.2500 0.2500  4 Fe 2.60, 4 Li 2.60
Si 0.7500 0.7500 0.7500  4 Fe 2.60, 4 Li 2.60

# 2
The following is a GGA-PBE calculation of crystalline LiSmScFe at its relaxed geometry, from Alexandria via LeMat-Bulk.

Calculated values
As for the space group: F-43m, No. 216. The total energy is -5.260 eV/atom. As for the energy of formation from the pure elements: 0.39 eV per formula unit.

Cell lengths 6.7143, 6.7143, 6.7143 Å; angles 90.00, 90.00, 90.00 degrees
Last column: nearest neighbours and their distance in Å.
Sites, in units of the cell vectors:
Li 0.0000 0.0000 0.0000  4 Sm 2.91, 4 Sc 2.91
Li 0.0000 0.5000 0.5000  4 Sm 2.91, 4 Sc 2.91
Li 0.5000 0.0000 0.5000  4 Sm 2.91, 4 Sc 2.91
Li 0.5000 0.5000 0.0000  4 Sm 2.91, 4 Sc 2.91
Sm 0.2500 0.2500 0.2500  4 Fe 2.91, 4 Li 2.91
Sm 0.2500 0.7500 0.7500  4 Fe 2.91, 4 Li 2.91
Sm 0.7500 0.2500 0.7500  4 Fe 2.91, 4 Li 2.91
Sm 0.7500 0.7500 0.2500  4 Fe 2.91, 4 Li 2.91
Sc 0.2500 0.2500 0.7500  4 Fe 2.91, 4 Li 2.91
Sc 0.2500 0.7500 0.2500  4 Fe 2.91, 4 Li 2.91
Sc 0.7500 0.2500 0.2500  4 Fe 2.91, 4 Li 2.91
Sc 0.7500 0.7500 0.7500  4 Li 2.91, 4 Fe 2.91
Fe 0.0000 0.0000 0.5000  4 Sc 2.91, 4 Sm 2.91
Fe 0.0000 0.5000 0.0000  4 Sc 2.91, 4 Sm 2.91
Fe 0.5000 0.0000 0.0000  4 Sc 2.91, 4 Sm 2.91
Fe 0.5000 0.5000 0.5000  4 Sc 2.91, 4 Sm 2.91

# 3
The following is a GGA-PBE calculation of crystalline LiScFeSn2 at its relaxed geometry, from Alexandria via LeMat-Bulk.

Calculated values
As for the space group: P4/mmm, No. 123. The total energy is -4.535 eV/atom. As for the energy of formation from the pure elements: 2.04 eV per formula unit.

Cell lengths 4.7218, 4.7218, 4.2088 Å; angles 90.00, 90.00, 90.00 degrees
Last column: nearest neighbours and their distance in Å.
Sites, in units of the cell vectors:
Li 0.0000 0.0000 0.0000  2 Fe 2.10
Sc 0.5000 0.5000 0.5000  8 Sn 3.16, 4 Fe 3.34
Fe 0.0000 0.0000 0.5000  2 Li 2.10
Sn 0.0000 0.5000 0.0000  2 Li 2.36
Sn 0.5000 0.0000 0.0000  2 Li 2.36